Entry 1:
Computed, not measured: a geometry-optimized YScHgRu structure at the PBE level of DFT.

a b c (Å): 3.397 3.397 7.256
angles (deg): 90.00 90.00 90.00
Space group P4mm (No. 99)
Inequivalent atoms, fractional coordinates:
Y 0.000 0.000 0.000 x1
Sc 0.000 0.000 0.559 x1
Hg 0.500 0.500 0.301 x1
Ru 0.500 0.500 0.758 x1

Calculated values
The value obtained for the volume is 20.9 A^3/atom. The density of states at the Fermi level is 2.60 states/eV/cell. Its size of the total moment is 0.0 μB per cell. As for the energy above the most stable polymorph in this dataset: 0 meV per atom.

=====

Entry 2:
Computed, not measured: a geometry-optimized AcPuBiI structure at the PBE level of DFT.

a b c (Å): 8.089 8.089 8.089
angles (deg): 90.00 90.00 90.00
Space group F-43m (No. 216)
Inequivalent atoms, fractional coordinates:
Ac 0.000 0.000 0.000 x4
Pu 0.000 0.000 0.500 x4
Bi 0.250 0.250 0.750 x4
I 0.250 0.250 0.250 x4

Calculated values
The value obtained for the volume is 33.1 A^3/atom. The density of states at the Fermi level is 41.05 states/eV/cell. Its size of the total moment is 27.6 μB per cell. The electronic total energy comes out at -0.4890 Ry/atom.

=====

Entry 3:
Computed, not measured: a geometry-optimized SrLaPt2 structure at the PBE level of DFT.

a b c (Å): 7.097 7.097 7.097
angles (deg): 90.00 90.00 90.00
Space group F-43m (No. 216)
Inequivalent atoms, fractional coordinates:
Sr 0.000 0.000 0.000 x4
La 0.250 0.250 0.750 x4
Pt 0.000 0.000 0.500 x4
Pt 0.250 0.250 0.250 x4

Calculated values
The value obtained for the volume is 22.3 A^3/atom. The density of states at the Fermi level is 13.90 states/eV/cell. Its size of the total moment is 0.0 μB per cell. As for the energy above the most stable polymorph in this dataset: 459 meV per atom.

=====

Entry 4:
Computed, not measured: a geometry-optimized KLiCr3 structure at the PBE level of DFT.

a b c (Å): 5.046 5.046 5.046
angles (deg): 90.00 90.00 90.00
Space group Pm-3m (No. 221)
Inequivalent atoms, fractional coordinates:
K 0.000 0.000 0.000 x1
Li 0.500 0.500 0.500 x1
Cr 0.000 0.500 0.500 x3

Calculated values
The value obtained for the volume is 25.7 A^3/atom. The density of states at the Fermi level is 2.92 states/eV/cell. Its size of the total moment is 14.4 μB per cell. As for the energy above the most stable polymorph in this dataset: 0 meV per atom.

=====

Entry 5:
Computed, not measured: a geometry-optimized La2AlZn3Hg4 structure at the PBE level of DFT.

a b c (Å): 4.480 4.480 11.445
angles (deg): 90.00 90.00 90.00
Space group P-4m2 (No. 115)
Inequivalent atoms, fractional coordinates:
La 0.000 0.500 0.249 x2
Al 0.000 0.000 0.500 x1
Zn 0.000 0.500 0.861 x2
Zn 0.500 0.500 0.500 x1
Hg 0.000 0.000 0.000 x1
Hg 0.000 0.500 0.633 x2
Hg 0.500 0.500 0.000 x1

Calculated values
The value obtained for the volume is 23.0 A^3/atom. The density of states at the Fermi level is 5.63 states/eV/cell. Its size of the total moment is 0.0 μB per cell. The electronic total energy comes out at -0.1607 Ry/atom.

=====

Entry 6:
Computed, not measured: a geometry-optimized TaZnTe2 structure at the PBE level of DFT.

a b c (Å): 4.553 3.717 10.317
angles (deg): 90.00 90.00 90.00
Space group Amm2 (No. 38)
Inequivalent atoms, fractional coordinates:
Ta 0.000 0.000 0.000 x2
Zn 0.500 0.000 0.839 x2
Te 0.000 0.000 0.291 x2
Te 0.500 0.000 0.574 x2

Calculated values
The value obtained for the volume is 21.8 A^3/atom. The density of states at the Fermi level is 6.20 states/eV/cell. Its size of the total moment is 0.0 μB per cell. The electronic total energy comes out at -0.3533 Ry/atom.

=====

Entry 7:
Computed, not measured: a geometry-optimized Ho5CO5 structure at the PBE level of DFT.

a b c (Å): 10.872 4.745 6.818
angles (deg): 90.00 108.75 90.00
Space group C2/m (No. 12)
Inequivalent atoms, fractional coordinates:
Ho 0.000 0.000 0.000 x2
Ho 0.155 0.500 0.821 x4
Ho 0.164 0.500 0.334 x4
C 0.000 0.500 0.000 x2
O 0.000 0.500 0.500 x2
O 0.179 0.000 0.325 x4
O 0.180 0.000 0.854 x4

Calculated values
The value obtained for the volume is 15.1 A^3/atom. The density of states at the Fermi level is 5.36 states/eV/cell. Its size of the total moment is 0.0 μB per cell. The electronic total energy comes out at -0.5807 Ry/atom.

=====

Entry 8:
Computed, not measured: a geometry-optimized Be3SiO structure at the PBE level of DFT.

a b c (Å): 4.111 4.111 4.111
angles (deg): 90.00 90.00 90.00
Space group Pm-3m (No. 221)
Inequivalent atoms, fractional coordinates:
Be 0.000 0.000 0.500 x3
Si 0.000 0.000 0.000 x1
O 0.500 0.500 0.500 x1

Calculated values
The value obtained for the volume is 13.9 A^3/atom. The density of states at the Fermi level is 0.00 states/eV/cell. Its size of the total moment is 0.0 μB per cell. As for the energy above the most stable polymorph in this dataset: 1132 meV per atom.

=====

Entry 9:
Computed, not measured: a geometry-optimized Li3BrF structure at the PBE level of DFT.

a b c (Å): 4.846 4.846 4.846
angles (deg): 90.00 90.00 90.00
Space group Pm-3m (No. 221)
Inequivalent atoms, fractional coordinates:
Li 0.000 0.000 0.500 x3
Br 0.000 0.000 0.000 x1
F 0.500 0.500 0.500 x1

Calculated values
The value obtained for the volume is 22.8 A^3/atom. The density of states at the Fermi level is 3.17 states/eV/cell. Its size of the total moment is 0.0 μB per cell. As for the energy above the most stable polymorph in this dataset: 495 meV per atom.

=====

Entry 10:
Computed, not measured: a geometry-optimized AsRh structure at the PBE level of DFT.

a b c (Å): 3.010 3.010 7.766
angles (deg): 90.00 90.00 90.00
Space group P4/nmm (No. 129, origin choice 2)
Inequivalent atoms, fractional coordinates:
As 0.250 0.250 0.197 x2
Rh 0.250 0.250 0.629 x2

Calculated values
The value obtained for the volume is 17.6 A^3/atom. The density of states at the Fermi level is 2.71 states/eV/cell. Its size of the total moment is 0.0 μB per cell. The electronic total energy comes out at -0.4583 Ry/atom.

=====

Entry 11:
Computed, not measured: a geometry-optimized Cr2SbHI structure at the PBE level of DFT.

a b c (Å): 4.569 4.569 3.619
angles (deg): 90.00 90.00 90.00
Space group P4/mmm (No. 123)
Inequivalent atoms, fractional coordinates:
Cr 0.000 0.500 0.000 x2
Sb 0.000 0.000 0.500 x1
H 0.000 0.000 0.000 x1
I 0.500 0.500 0.500 x1

Calculated values
The value obtained for the volume is 15.1 A^3/atom. The density of states at the Fermi level is 6.22 states/eV/cell. Its size of the total moment is 0.0 μB per cell. The electronic total energy comes out at -0.3275 Ry/atom.

=====

Entry 12:
Computed, not measured: a geometry-optimized TaHgBr2 structure at the PBE level of DFT.

a b c (Å): 7.010 7.010 7.010
angles (deg): 90.00 90.00 90.00
Space group Fm-3m (No. 225)
Inequivalent atoms, fractional coordinates:
Ta 0.000 0.000 0.000 x4
Hg 0.000 0.000 0.500 x4
Br 0.250 0.250 0.250 x8

Calculated values
The value obtained for the volume is 21.5 A^3/atom. The density of states at the Fermi level is 11.00 states/eV/cell. Its size of the total moment is 0.0 μB per cell. As for the energy above the most stable polymorph in this dataset: 964 meV per atom.

=====

Entry 13:
Computed, not measured: a geometry-optimized ScNiOs2 structure at the PBE level of DFT.

a b c (Å): 3.046 4.384 8.835
angles (deg): 90.00 90.00 90.00
Space group Imm2 (No. 44)
Inequivalent atoms, fractional coordinates:
Sc 0.000 0.000 0.000 x2
Ni 0.000 0.500 0.756 x2
Os 0.000 0.000 0.496 x2
Os 0.000 0.500 0.237 x2

Calculated values
The value obtained for the volume is 14.7 A^3/atom. The density of states at the Fermi level is 9.67 states/eV/cell. Its size of the total moment is 0.0 μB per cell. As for the energy above the most stable polymorph in this dataset: 129 meV per atom.

=====

Entry 14:
Computed, not measured: a geometry-optimized La4Nd3ErS8 structure at the PBE level of DFT.

a b c (Å): 8.1754 8.1754 20.0423
angles (deg): 90.00 90.00 120.00
Space group R-3m (No. 166, hexagonal axes)
Inequivalent atoms, fractional coordinates:
La 0.0000 0.0000 0.0000 x3
La 0.0000 0.5000 0.0000 x9
Nd 0.0000 0.5000 0.5000 x9
Er 0.0000 0.0000 0.5000 x3
S 0.0000 0.0000 0.2484 x6
S 0.0100 0.5050 0.2459 x18

Calculated values
The value obtained for the volume is 24.2 A^3/atom. The density of states at the Fermi level is 25.33 states/eV/cell. Its size of the total moment is 0.0 μB per cell. The electronic total energy comes out at -0.4822 Ry/atom.

=====

Entry 15:
Computed, not measured: a geometry-optimized MgAl2Ag2 structure at the PBE level of DFT.

a b c (Å): 7.970 7.970 2.884
angles (deg): 90.00 90.00 90.00
Space group P4/mbm (No. 127)
Inequivalent atoms, fractional coordinates:
Mg 0.000 0.000 0.000 x2
Al 0.169 0.331 0.500 x4
Ag 0.130 0.630 0.000 x4

Calculated values
The value obtained for the volume is 18.3 A^3/atom. The density of states at the Fermi level is 4.18 states/eV/cell. Its size of the total moment is 0.0 μB per cell. As for the energy above the most stable polymorph in this dataset: 101 meV per atom.

=====

Entry 16:
Computed, not measured: a geometry-optimized Mn2RuI8 structure at the PBE level of DFT.

a b c (Å): 14.957 8.749 6.856
angles (deg): 90.00 91.68 90.00
Space group C2/m (No. 12)
Inequivalent atoms, fractional coordinates:
Mn 0.160 0.000 0.095 x4
Ru 0.000 0.000 0.500 x2
I 0.066 0.222 0.265 x8
I 0.158 0.000 0.704 x4
I 0.170 0.500 0.827 x4

Calculated values
The value obtained for the volume is 40.8 A^3/atom. The density of states at the Fermi level is 15.47 states/eV/cell. Its size of the total moment is 16.0 μB per cell. The electronic total energy comes out at -0.2826 Ry/atom.

=====

Entry 17:
Computed, not measured: a geometry-optimized BeSi2Cl structure at the PBE level of DFT.

a b c (Å): 4.502 7.283 4.090
angles (deg): 90.00 90.00 90.00
Space group Cmmm (No. 65)
Inequivalent atoms, fractional coordinates:
Be 0.000 0.000 0.000 x2
Si 0.000 0.169 0.500 x4
Cl 0.000 0.500 0.000 x2

Calculated values
The value obtained for the volume is 16.8 A^3/atom. The density of states at the Fermi level is 3.61 states/eV/cell. Its size of the total moment is 0.0 μB per cell. As for the energy above the most stable polymorph in this dataset: 42 meV per atom.

=====

Entry 18:
Computed, not measured: a geometry-optimized Tb14CeNd structure at the PBE level of DFT.

a b c (Å): 7.138 7.138 10.085
angles (deg): 90.00 90.00 90.00
Space group P4/mmm (No. 123)
Inequivalent atoms, fractional coordinates:
Tb 0.000 0.000 0.000 x1
Tb 0.000 0.500 0.000 x2
Tb 0.000 0.500 0.500 x2
Tb 0.248 0.248 0.249 x8
Tb 0.500 0.500 0.000 x1
Ce 0.000 0.000 0.500 x1
Nd 0.500 0.500 0.500 x1

Calculated values
The value obtained for the volume is 32.1 A^3/atom. The density of states at the Fermi level is 23.51 states/eV/cell. Its size of the total moment is 0.9 μB per cell. The electronic total energy comes out at -0.3448 Ry/atom.

=====

Entry 19:
Computed, not measured: a geometry-optimized AcSiHPd2 structure at the PBE level of DFT.

a b c (Å): 4.090 11.396 7.292
angles (deg): 90.00 90.00 90.00
Space group Cmcm (No. 63)
Inequivalent atoms, fractional coordinates:
Ac 0.000 0.060 0.250 x4
Si 0.000 0.222 0.750 x4
H 0.000 0.500 0.000 x4
Pd 0.000 0.332 0.056 x8

Calculated values
The value obtained for the volume is 17.0 A^3/atom. The density of states at the Fermi level is 7.20 states/eV/cell. Its size of the total moment is 0.0 μB per cell. The electronic total energy comes out at -0.3985 Ry/atom.